The following is a PBE-GGA calculation of a geometry-optimized AlSi2Os structure, from the Alexandria database.

Raw formation energy ... 238 meV per atom
Total energy ... -6.2166 eV per atom

Unit cell a=2.8775 b=2.8775 c=8.2935 alpha=90.00 beta=90.00 gamma=119.69
Closest atoms and distances in Å follow each position.
Fractional coordinates of all 4 atoms:
Os1 0.5000 0.5000 0.7500  4 Si 2.44
Al1 0.5000 0.5000 0.2500  4 Si 2.62, 6 Al 2.88-2.89
Si1 0.0000 0.0000 0.5136  2 Os 2.44, 2 Al 2.62
Si2 0.0000 0.0000 0.9864  2 Os 2.44, 2 Al 2.62

---

The following is a PBE-GGA calculation of a geometry-optimized DyU5As6 structure, from the Alexandria database.

DFT formation energy ... -19.71 kcal/mol of atoms
Total energy ... -8.2662 eV per atom

Unit cell a=7.0621 b=7.1020 c=7.1094 alpha=60.03 beta=80.32 gamma=70.33
Closest atoms and distances in Å follow each position.
Fractional coordinates of all 12 atoms:
As1 0.2493 0.5833 0.3336  5 U 2.89-2.90, 1 Dy 2.89
As2 0.7507 0.0831 0.3336  5 U 2.89-2.90, 1 Dy 2.89
As3 0.7490 0.7508 0.0000  5 U 2.89, 1 Dy 2.90
As4 0.2493 0.9169 0.6664  5 U 2.89-2.90, 1 Dy 2.89
As5 0.7507 0.4167 0.6664  5 U 2.89-2.90, 1 Dy 2.89
As6 0.2510 0.2492 0.0000  5 U 2.89, 1 Dy 2.90
U1 0.5000 0.5000 0.0000  6 As 2.89-2.90
U2 0.0000 0.6661 0.6678  6 As 2.89-2.90
U3 0.5000 0.1671 0.6658  6 As 2.89-2.90
U4 0.0000 0.3339 0.3322  6 As 2.89-2.90
U5 0.5000 0.8329 0.3342  6 As 2.89-2.90
Dy1 0.0000 0.0000 0.0000  6 As 2.89-2.90